The following is a DFT calculation (PBE+U) of ZrCoO after structural relaxation.

Lattice parameters (Å, degrees): 4.257 11.307 3.277 90.00 90.00 90.00
Atoms (fractional coordinates):
Zr (0.250, 0.146, 0.000)
Zr (0.250, 0.646, 0.500)
Zr (0.750, 0.354, 0.500)
Zr (0.750, 0.854, 0.000)
Co (0.250, 0.450, 0.044)
Co (0.250, 0.950, 0.544)
Co (0.750, 0.050, 0.544)
Co (0.750, 0.550, 0.044)
O (0.250, 0.290, 0.467)
O (0.250, 0.790, 0.967)
O (0.750, 0.210, 0.967)
O (0.750, 0.710, 0.467)

## Properties
The total DFT energy (no corrections) is -89.73 eV for the cell shown. The energy above the most stable polymorph in this dataset is 0.1686 eV/atom.